YSb2Ru2 (PBE, relaxed); crystal system = tetragonal; theoretical density = 8.3 Mg/m³; energy relative to the elements, uncorrected = -1.36 eV per formula unit; space-group type = I4/mmm (139); Fermi-level density of states = 4.073 states/eV/f.u.
1.0
4.771 0.000 0.000
0.000 4.771 0.000
2.385 2.385 4.701
Ru Sb Y
2 2 1
Direct
0.630 0.630 0.741
0.370 0.370 0.259
0.250 0.750 0.500
0.750 0.250 0.500
0.000 0.000 0.000